[1]
The following is a PBE calculation of crystalline HoScO at its relaxed geometry, from Alexandria via LeMat-Bulk.

Cell lengths 5.4911, 3.3691, 3.3691 Å; angles 120.00, 90.00, 90.00 degrees
Sites, in units of the cell vectors:
Sc  0.1056  0.0000  0.0000
Ho  0.5776  0.3333  0.6667
O  0.3168  0.6667  0.3333

Values from the calculation:
- energy relative to the elements, uncorrected (eV/f.u.) = -5.5
- space-group type = P3m1, No. 156
- polymorph energy (0 for the lowest one) (meV/atom) = 0.0
- density of states at the Fermi level (states/eV/atom) = 1.07
- calculated total energy (eV per atom) = -7.120



[2]
The following is a PBE calculation of crystalline HoScO at its relaxed geometry, from Alexandria via LeMat-Bulk.

Cell lengths 3.9795, 3.9795, 7.4506 Å; angles 90.00, 90.00, 90.00 degrees
Sites, in units of the cell vectors:
Ho  0.0000  0.0000  0.7500
Ho  0.0000  0.0000  0.2500
Sc  0.5000  0.5000  0.0000
Sc  0.5000  0.5000  0.5000
O  0.5000  0.0000  0.5000
O  0.0000  0.5000  0.0000

Values from the calculation:
- energy relative to the elements, uncorrected (eV/f.u.) = -5.2
- space-group type = P4_2/mmc, No. 131
- polymorph energy (0 for the lowest one) (meV/atom) = 101.1
- density of states at the Fermi level (states/eV/atom) = 0.99
- calculated total energy (eV per atom) = -7.019



[3]
The following is a PBE calculation of crystalline HoScO3 at its relaxed geometry, from Alexandria via LeMat-Bulk.

Cell lengths 3.4580, 5.7233, 6.8054 Å; angles 90.00, 104.72, 90.00 degrees
Sites, in units of the cell vectors:
Ho  0.8124  0.5532  0.6248
Ho  0.1876  0.0532  0.3752
Sc  0.4465  0.0276  0.8931
Sc  0.5535  0.5276  0.1069
O  0.6752  0.3125  0.3505
O  0.3248  0.8125  0.6495
O  0.9847  0.6376  0.9694
O  0.0153  0.1376  0.0306
O  0.6509  0.8000  0.3018
O  0.3491  0.3000  0.6982

Values from the calculation:
- energy relative to the elements, uncorrected (eV/f.u.) = -17.4
- space-group type = Cmc2_1, No. 36
- density of states at the Fermi level (states/eV/atom) = 0.00
- calculated total energy (eV per atom) = -8.629



[4]
The following is a PBE calculation of crystalline Ho2ScO4 at its relaxed geometry, from Alexandria via LeMat-Bulk.

Cell lengths 3.3366, 5.8173, 6.0939 Å; angles 120.66, 105.89, 90.00 degrees
Sites, in units of the cell vectors:
Ho  0.7000  0.6991  0.4001
Ho  0.3000  0.3009  0.5999
Sc  0.0000  0.0000  0.0000
O  0.8764  0.1671  0.7528
O  0.1236  0.8329  0.2472
O  0.6423  0.2643  0.2846
O  0.3577  0.7357  0.7154

Values from the calculation:
- energy relative to the elements, uncorrected (eV/f.u.) = -22.7
- space-group type = C2/m, No. 12
- density of states at the Fermi level (states/eV/atom) = 0.24
- calculated total energy (eV per atom) = -8.286



[5]
The following is a PBE calculation of crystalline HoScO at its relaxed geometry, from Alexandria via LeMat-Bulk.

Cell lengths 5.9124, 5.9124, 5.9124 Å; angles 90.00, 90.00, 90.00 degrees
Sites, in units of the cell vectors:
O  0.6990  0.6990  0.6990
O  0.8010  0.3010  0.1990
O  0.1990  0.8010  0.3010
O  0.3010  0.1990  0.8010
Ho  0.4147  0.4147  0.4147
Ho  0.0853  0.5853  0.9147
Ho  0.9147  0.0853  0.5853
Ho  0.5853  0.9147  0.0853
Sc  0.1025  0.1025  0.1025
Sc  0.3975  0.8975  0.6025
Sc  0.6025  0.3975  0.8975
Sc  0.8975  0.6025  0.3975

Values from the calculation:
- energy relative to the elements, uncorrected (eV/f.u.) = -4.5
- space-group type = P2_13, No. 198
- polymorph energy (0 for the lowest one) (meV/atom) = 315.4
- density of states at the Fermi level (states/eV/atom) = 0.78
- calculated total energy (eV per atom) = -6.804



[6]
The following is a PBE calculation of crystalline HoSc2O at its relaxed geometry, from Alexandria via LeMat-Bulk.

Cell lengths 2.9920, 2.9920, 8.2462 Å; angles 90.00, 90.00, 90.00 degrees
Sites, in units of the cell vectors:
Sc  0.0000  0.0000  0.8289
Sc  0.0000  0.0000  0.1711
Ho  0.5000  0.5000  0.5000
O  0.5000  0.5000  0.0000

Values from the calculation:
- energy relative to the elements, uncorrected (eV/f.u.) = -3.4
- space-group type = P4/mmm, No. 123
- polymorph energy (0 for the lowest one) (meV/atom) = 549.4
- density of states at the Fermi level (states/eV/atom) = 1.41
- calculated total energy (eV per atom) = -6.400



[7]
The following is a PBE calculation of crystalline Ho3Sc5O12 at its relaxed geometry, from Alexandria via LeMat-Bulk.

Cell lengths 11.1092, 11.1092, 11.1092 Å; angles 109.47, 109.47, 109.47 degrees
Sites, in units of the cell vectors:
Ho  0.7500  0.3750  0.1250
Ho  0.8750  0.7500  0.1250
Ho  0.3750  0.7500  0.6250
Ho  0.2500  0.1250  0.3750
Ho  0.8750  0.1250  0.2500
Ho  0.3750  0.6250  0.2500
Ho  0.6250  0.3750  0.7500
Ho  0.1250  0.8750  0.7500
Ho  0.7500  0.8750  0.6250
Ho  0.6250  0.2500  0.3750
Ho  0.1250  0.2500  0.8750
Ho  0.2500  0.6250  0.8750
Sc  0.1250  0.3750  0.2500
Sc  0.0000  0.5000  0.0000
Sc  0.0000  0.0000  0.0000
Sc  0.3750  0.2500  0.1250
Sc  0.5000  0.0000  0.5000
Sc  0.5000  0.5000  0.0000
Sc  0.1250  0.7500  0.3750
Sc  0.7500  0.1250  0.8750
Sc  0.7500  0.6250  0.3750
Sc  0.3750  0.1250  0.7500
Sc  0.6250  0.8750  0.2500
Sc  0.5000  0.5000  0.5000
Sc  0.5000  0.0000  0.0000
Sc  0.0000  0.0000  0.5000
Sc  0.2500  0.3750  0.6250
Sc  0.2500  0.8750  0.1250
Sc  0.0000  0.5000  0.5000
Sc  0.8750  0.2500  0.6250
Sc  0.6250  0.7500  0.8750
Sc  0.8750  0.6250  0.7500
O  0.7134  0.1286  0.0373
O  0.3239  0.5373  0.4086
O  0.9627  0.3714  0.2866
O  0.5373  0.2134  0.1286
O  0.5848  0.7134  0.6761
O  0.9627  0.5914  0.1761
O  0.3239  0.7866  0.4152
O  0.0914  0.9152  0.1286
O  0.5914  0.9627  0.6761
O  0.7134  0.5848  0.1761
O  0.7866  0.4627  0.3714
O  0.8239  0.9086  0.0373
O  0.1286  0.7134  0.5373
O  0.3714  0.4086  0.0848
O  0.0848  0.9086  0.3714
O  0.4152  0.1286  0.5914
O  0.0848  0.1761  0.2134
O  0.4627  0.6761  0.0914
O  0.8239  0.9152  0.2866
O  0.1286  0.4152  0.0914
O  0.3714  0.9627  0.7866
O  0.5914  0.6286  0.4152
O  0.9086  0.8239  0.5373
O  0.7866  0.3239  0.9152
O  0.4086  0.3714  0.5848
O  0.0914  0.1761  0.4627
O  0.2134  0.6761  0.0848
O  0.1761  0.0848  0.7134
O  0.6286  0.0373  0.2134
O  0.8714  0.5848  0.9086
O  0.5373  0.3239  0.9086
O  0.5848  0.8714  0.4086
O  0.9152  0.8239  0.7866
O  0.9152  0.0914  0.6286
O  0.8714  0.2866  0.4627
O  0.1761  0.0914  0.9627
O  0.6286  0.5914  0.9152
O  0.4086  0.0373  0.3239
O  0.2866  0.4152  0.8239
O  0.2134  0.5373  0.6286
O  0.9086  0.0848  0.8714
O  0.6761  0.2134  0.5848
O  0.4627  0.7866  0.8714
O  0.0373  0.4086  0.8239
O  0.4152  0.2866  0.3239
O  0.0373  0.6286  0.7134
O  0.6761  0.4627  0.5914
O  0.2866  0.8714  0.9627

Values from the calculation:
- energy relative to the elements, uncorrected (eV/f.u.) = -69.3
- space-group type = Ia-3d, No. 230
- density of states at the Fermi level (states/eV/atom) = 0.00
- calculated total energy (eV per atom) = -8.710



[8]
The following is a PBE calculation of crystalline HoScO2 at its relaxed geometry, from Alexandria via LeMat-Bulk.

Cell lengths 3.2222, 3.2222, 5.9649 Å; angles 74.33, 74.33, 60.00 degrees
Sites, in units of the cell vectors:
Ho  0.6720  0.6720  0.9841
Sc  0.4944  0.4944  0.5167
O  0.0860  0.0860  0.7421
O  0.2476  0.2476  0.2572

Values from the calculation:
- energy relative to the elements, uncorrected (eV/f.u.) = -10.9
- space-group type = R3m, No. 160
- density of states at the Fermi level (states/eV/atom) = 0.06
- calculated total energy (eV per atom) = -7.932



[9]
The following is a PBE calculation of crystalline HoScO3 at its relaxed geometry, from Alexandria via LeMat-Bulk.

Cell lengths 5.4397, 5.7357, 7.9626 Å; angles 90.00, 90.00, 90.00 degrees
Sites, in units of the cell vectors:
Ho  0.9798  0.0625  0.7500
Ho  0.4798  0.4375  0.2500
Ho  0.5202  0.5625  0.7500
Ho  0.0202  0.9375  0.2500
Sc  0.0000  0.5000  0.5000
Sc  0.5000  0.0000  0.5000
Sc  0.5000  0.0000  0.0000
Sc  0.0000  0.5000  0.0000
O  0.6903  0.3071  0.5696
O  0.1903  0.1929  0.4304
O  0.8097  0.8071  0.9304
O  0.3097  0.6929  0.0696
O  0.3097  0.6929  0.4304
O  0.8097  0.8071  0.5696
O  0.1903  0.1929  0.0696
O  0.6903  0.3071  0.9304
O  0.8667  0.5596  0.2500
O  0.3667  0.9404  0.7500
O  0.6333  0.0596  0.2500
O  0.1333  0.4404  0.7500

Values from the calculation:
- energy relative to the elements, uncorrected (eV/f.u.) = -17.8
- space-group type = Pnma, No. 62
- density of states at the Fermi level (states/eV/atom) = 0.00
- calculated total energy (eV per atom) = -8.707



[10]
The following is a PBE calculation of crystalline HoSc2O at its relaxed geometry, from Alexandria via LeMat-Bulk.

Cell lengths 3.2785, 3.2785, 8.4721 Å; angles 78.84, 78.84, 60.00 degrees
Sites, in units of the cell vectors:
Sc  0.2827  0.2827  0.1518
Sc  0.7173  0.7173  0.8482
Ho  0.5000  0.5000  0.5000
O  0.0000  0.0000  0.0000

Values from the calculation:
- energy relative to the elements, uncorrected (eV/f.u.) = -5.6
- space-group type = R-3m, No. 166
- polymorph energy (0 for the lowest one) (meV/atom) = 0.0
- density of states at the Fermi level (states/eV/atom) = 1.21
- calculated total energy (eV per atom) = -6.949